{"formula": "BaIn2NiPb", "functional": "GGA-PBE", "state": "optimized geometry", "magnetic_moment_mub_per_fu": 0.00, "sg": "No. 123", "e_form_ev_per_atom": -0.210, "cell": [[5.1226, 0.0000, 0.0000], [0.0000, 5.1226, 0.0000], [0.0000, 0.0000, 5.3803]], "species": ["Pb", "Ni", "Ba", "In", "In"], "fractional_positions": [[0.0000, 0.0000, 0.5000], [0.0000, 0.0000, 0.0000], [0.5000, 0.5000, 0.5000], [0.0000, 0.5000, 0.0000], [0.5000, 0.0000, 0.0000]]}


{"formula": "Li3ZnP", "functional": "GGA-PBE", "state": "optimized geometry", "e_above_lowest_polymorph_ev_per_atom": 0.000, "magnetic_moment_mub_per_fu": 0.00, "sg": "No. 221", "e_form_ev_per_atom": -0.278, "cell": [[-4.2330, -1.8423, 1.0472], [-0.4464, -1.5115, -4.4638], [2.0715, -4.0903, 1.1779]], "species": ["P", "Zn", "Li", "Li", "Li"], "fractional_positions": [[0.0000, 0.0000, 0.0000], [0.5000, 0.5000, 0.5000], [0.0000, 0.5000, 0.0000], [0.0000, 0.0000, 0.5000], [0.5000, 0.0000, 0.0000]]}


{"formula": "Sr2PO", "functional": "GGA-PBE", "state": "optimized geometry", "e_above_lowest_polymorph_ev_per_atom": 0.406, "magnetic_moment_mub_per_fu": 1.00, "formation_energy_uncorrected_mev_per_atom": -1143.2, "sg": "No. 225", "cell": [[0.0000, 3.5450, 3.5450], [3.5450, 0.0000, 3.5450], [3.5450, 3.5450, 0.0000]], "species": ["Sr", "Sr", "O", "P"], "fractional_positions": [[0.2500, 0.2500, 0.2500], [0.7500, 0.7500, 0.7500], [0.0000, 0.0000, 0.0000], [0.5000, 0.5000, 0.5000]]}


{"formula": "La2CrGeCl", "functional": "GGA-PBE", "state": "optimized geometry", "magnetic_moment_mub_per_fu": 3.64, "formation_energy_uncorrected_mev_per_atom": -175.3, "sg": "No. 123", "cell": [[-2.4374, -0.9132, -5.2730], [2.5175, -3.8795, -0.4918], [-4.3019, -3.1120, 2.5275]], "species": ["Cr", "Ge", "Cl", "La", "La"], "fractional_positions": [[0.0000, 0.5000, 0.0000], [0.0000, 0.0000, 0.0000], [0.5000, 0.5000, 0.5000], [0.0000, 0.0000, 0.5000], [0.5000, 0.0000, 0.0000]]}


{"formula": "TaVP2", "functional": "GGA-PBE", "state": "optimized geometry", "e_above_lowest_polymorph_ev_per_atom": 0.151, "magnetic_moment_mub_per_fu": 0.00, "sg": "No. 225", "e_form_ev_per_atom": -0.464, "cell": [[0.0000, 3.0343, 3.0343], [3.0343, 0.0000, 3.0343], [3.0343, 3.0343, 0.0000]], "species": ["P", "P", "Ta", "V"], "fractional_positions": [[0.2500, 0.2500, 0.2500], [0.7500, 0.7500, 0.7500], [0.5000, 0.5000, 0.5000], [0.0000, 0.0000, 0.0000]]}


{"formula": "Rb2OsAuI6", "functional": "GGA-PBE", "state": "optimized geometry", "magnetic_moment_mub_per_fu": 1.33, "formation_energy_uncorrected_mev_per_atom": -393.9, "sg": "No. 139", "cell": [[-1.0997, 7.9621, -1.7600], [-6.8314, 0.0701, 4.5857], [-0.9070, 5.4409, 5.9475]], "species": ["I", "I", "I", "I", "I", "I", "Os", "Au", "Rb", "Rb"], "fractional_positions": [[0.2556, 0.2556, 0.4887], [0.7444, 0.7444, 0.5113], [0.2648, 0.2648, 0.0000], [0.7352, 0.7352, 0.0000], [0.7352, 0.2648, 0.0000], [0.2648, 0.7352, 0.0000], [0.5000, 0.5000, 0.0000], [0.0000, 0.0000, 0.0000], [0.7500, 0.2500, 0.5000], [0.2500, 0.7500, 0.5000]]}


{"formula": "AcHoSi2", "functional": "GGA-PBE", "state": "optimized geometry", "e_above_lowest_polymorph_ev_per_atom": 0.078, "magnetic_moment_mub_per_fu": 0.00, "formation_energy_uncorrected_mev_per_atom": -419.5, "sg": "No. 166", "cell": [[4.6726, 0.0000, 0.0000], [2.3363, 4.0466, 0.0000], [2.3363, 1.3489, 5.7786]], "species": ["Ac", "Si", "Si", "Ho"], "fractional_positions": [[0.0000, 0.0000, 0.0000], [0.7711, 0.7711, 0.6868], [0.2289, 0.2289, 0.3132], [0.5000, 0.5000, 0.5000]]}


{"formula": "Y2Cd2Sn", "functional": "GGA-PBE", "state": "optimized geometry", "magnetic_moment_mub_per_fu": 0.00, "sg": "No. 139", "e_form_ev_per_atom": -0.204, "cell": [[-2.3368, -0.8025, -3.0703], [-0.2416, -3.7568, 1.1659], [-8.5894, -0.2504, 4.0737]], "species": ["Y", "Y", "Sn", "Cd", "Cd"], "fractional_positions": [[0.4015, 0.4015, 0.1971], [0.5985, 0.5985, 0.8029], [0.0000, 0.0000, 0.0000], [0.7500, 0.2500, 0.5000], [0.2500, 0.7500, 0.5000]]}